1.
# PBE ScCoC2, optimized geometry
data_ScCoC2
_cell_length_a 4.433
_cell_length_b 4.433
_cell_length_c 10.005
_cell_angle_alpha 90.00
_cell_angle_beta 90.00
_cell_angle_gamma 90.00
_space_group_name_H-M_alt 'I -4 2 d'
_space_group_IT_number 122
_space_group_name_Hall 'I -4 2bw'
loop_
_atom_site_label
_atom_site_fract_x
_atom_site_fract_y
_atom_site_fract_z
_atom_site_occupancy
Sc1 0.000 0.000 0.000 1
Co1 0.000 0.000 0.500 1
C1 0.163 0.250 0.625 1
# theoretical density: 4.32 g/cm³
# E: -121.44 eV per cell

***

2.
# PBE HoScIn2, optimized geometry
data_HoScIn2
_cell_length_a 4.711
_cell_length_b 4.711
_cell_length_c 4.385
_cell_angle_alpha 90.00
_cell_angle_beta 90.00
_cell_angle_gamma 90.00
_space_group_name_H-M_alt 'P 4/m m m'
_space_group_IT_number 123
_space_group_name_Hall '-P 4 2'
loop_
_atom_site_label
_atom_site_fract_x
_atom_site_fract_y
_atom_site_fract_z
_atom_site_occupancy
Ho1 0.000 0.000 0.000 1
Sc1 0.500 0.500 0.000 1
In1 0.000 0.500 0.500 1
# theoretical density: 7.50 g/cm³
# E: -18.10 eV per cell

***

3.
# PBE In2NiW, optimized geometry
data_In2NiW
_cell_length_a 5.986
_cell_length_b 8.038
_cell_length_c 2.903
_cell_angle_alpha 90.00
_cell_angle_beta 90.00
_cell_angle_gamma 90.00
_space_group_name_H-M_alt 'C m m m'
_space_group_IT_number 65
_space_group_name_Hall '-C 2 2'
loop_
_atom_site_label
_atom_site_fract_x
_atom_site_fract_y
_atom_site_fract_z
_atom_site_occupancy
In1 0.250 0.250 0.000 1
Ni1 0.000 0.000 0.500 1
W1 0.000 0.500 0.500 1
# excess energy over the best structure of this formula in the dataset: 114.4 meV/atom
# theoretical density: 11.23 g/cm³
# E: -45.22 eV per cell

***

4.
# PBE Ce2NpSe5, optimized geometry
data_Ce2NpSe5
_cell_length_a 12.371
_cell_length_b 8.421
_cell_length_c 7.805
_cell_angle_alpha 90.00
_cell_angle_beta 90.00
_cell_angle_gamma 90.00
_space_group_name_H-M_alt 'P n m a'
_space_group_IT_number 62
loop_
_space_group_symop_operation_xyz
'x,y,z'
'-x,-y,-z'
'-x+1/2,-y,z+1/2'
'x+1/2,y,-z+1/2'
'x+1/2,-y+1/2,-z+1/2'
'-x+1/2,y+1/2,z+1/2'
'-x,y+1/2,-z'
'x,-y+1/2,z'
loop_
_atom_site_label
_atom_site_fract_x
_atom_site_fract_y
_atom_site_fract_z
_atom_site_occupancy
Ce1 0.178 0.000 0.024 1
Np1 0.008 0.250 0.572 1
Se1 0.001 0.250 0.960 1
Se2 0.096 0.544 0.666 1
Se3 0.187 0.250 0.331 1
Se4 0.216 0.750 0.302 1
# formation energy without anion corrections: -1.58 eV per atom
# theoretical density: 7.45 g/cm³
# E: -219.59 eV per cell

***

5.
# PBE Ce3Hg4Pd4, optimized geometry
data_Ce3Hg4Pd4
_cell_length_a 4.012
_cell_length_b 8.268
_cell_length_c 15.187
_cell_angle_alpha 90.00
_cell_angle_beta 90.00
_cell_angle_gamma 90.00
_space_group_name_H-M_alt 'I m m m'
_space_group_IT_number 71
_space_group_name_Hall '-I 2 2'
loop_
_atom_site_label
_atom_site_fract_x
_atom_site_fract_y
_atom_site_fract_z
_atom_site_occupancy
Ce1 0.000 0.000 0.000 1
Ce2 0.000 0.500 0.123 1
Hg1 0.000 0.308 0.335 1
Pd1 0.000 0.000 0.240 1
Pd2 0.000 0.174 0.500 1
# theoretical density: 10.87 g/cm³
# E: -90.65 eV per cell

***

6.
# PBE KBa2GaN, optimized geometry
data_KBa2GaN
_cell_length_a 6.472
_cell_length_b 6.472
_cell_length_c 4.292
_cell_angle_alpha 90.00
_cell_angle_beta 90.00
_cell_angle_gamma 90.00
_space_group_name_H-M_alt 'P 4/m m m'
_space_group_IT_number 123
_space_group_name_Hall '-P 4 2'
loop_
_atom_site_label
_atom_site_fract_x
_atom_site_fract_y
_atom_site_fract_z
_atom_site_occupancy
K1 0.000 0.000 0.000 1
Ba1 0.000 0.500 0.000 1
Ga1 0.500 0.500 0.500 1
N1 0.000 0.000 0.500 1
# formation energy without anion corrections: 0.90 eV per atom
# theoretical density: 3.67 g/cm³
# E: -11.81 eV per cell

***

7.
# PBE CePmRhCl, optimized geometry
data_CePmRhCl
_cell_length_a 3.9891
_cell_length_b 3.9891
_cell_length_c 23.1571
_cell_angle_alpha 90.00
_cell_angle_beta 90.00
_cell_angle_gamma 120.00
_space_group_name_H-M_alt 'R 3 m'
_space_group_IT_number 160
_space_group_name_Hall 'R 3 -2"'
loop_
_atom_site_label
_atom_site_fract_x
_atom_site_fract_y
_atom_site_fract_z
_atom_site_occupancy
Ce1 0.0000 0.0000 0.0000 1
Pm1 0.0000 0.0000 0.8037 1
Rh1 0.0000 0.0000 0.3975 1
Cl1 0.0000 0.0000 0.5678 1
# formation energy without anion corrections: -1.11 eV per atom
# theoretical density: 6.61 g/cm³
# E: -72.93 eV per cell

***

8.
# PBE BeSiPO2, optimized geometry
data_BeSiPO2
_cell_length_a 3.335
_cell_length_b 3.335
_cell_length_c 5.184
_cell_angle_alpha 90.00
_cell_angle_beta 90.00
_cell_angle_gamma 90.00
_space_group_name_H-M_alt 'P 4/m m m'
_space_group_IT_number 123
_space_group_name_Hall '-P 4 2'
loop_
_atom_site_label
_atom_site_fract_x
_atom_site_fract_y
_atom_site_fract_z
_atom_site_occupancy
Be1 0.000 0.000 0.000 1
Si1 0.500 0.500 0.500 1
P1 0.000 0.000 0.500 1
O1 0.000 0.500 0.000 1
# formation energy without anion corrections: -0.30 eV per atom
# excess energy over the best structure of this formula in the dataset: 528.2 meV/atom
# theoretical density: 2.88 g/cm³
# E: -25.97 eV per cell

***

9.
# PBE In5Hg2Pb3, optimized geometry
data_In5Hg2Pb3
_cell_length_a 7.617
_cell_length_b 8.790
_cell_length_c 9.239
_cell_angle_alpha 72.18
_cell_angle_beta 82.53
_cell_angle_gamma 72.96
_space_group_name_H-M_alt 'P -1'
_space_group_IT_number 2
loop_
_space_group_symop_operation_xyz
'x,y,z'
'-x,-y,-z'
loop_
_atom_site_label
_atom_site_fract_x
_atom_site_fract_y
_atom_site_fract_z
_atom_site_occupancy
In1 0.023 0.334 0.292 1
In2 0.074 0.973 0.825 1
In3 0.373 0.874 0.121 1
In4 0.436 0.525 0.682 1
In5 0.470 0.176 0.223 1
Hg1 0.135 0.626 0.358 1
Hg2 0.287 0.587 0.013 1
Pb1 0.166 0.285 0.939 1
Pb2 0.230 0.916 0.477 1
Pb3 0.312 0.234 0.581 1
# theoretical density: 9.43 g/cm³
# E: -50.44 eV per cell

***

10.
# PBE Ag2HgAu3, optimized geometry
data_Ag2HgAu3
_cell_length_a 8.335
_cell_length_b 11.598
_cell_length_c 5.075
_cell_angle_alpha 90.00
_cell_angle_beta 90.00
_cell_angle_gamma 90.00
_space_group_name_H-M_alt 'I m m a'
_space_group_IT_number 74
_space_group_name_Hall '-I 2b 2'
loop_
_atom_site_label
_atom_site_fract_x
_atom_site_fract_y
_atom_site_fract_z
_atom_site_occupancy
Ag1 0.000 0.111 0.080 1
Hg1 0.000 0.250 0.630 1
Au1 0.177 0.000 0.500 1
Au2 0.250 0.250 0.250 1
# excess energy over the best structure of this formula in the dataset: 101.9 meV/atom
# theoretical density: 13.64 g/cm³
# E: -61.01 eV per cell

***

11.
# PBE Ac6Pt3Pb, optimized geometry
data_Ac6Pt3Pb
_cell_length_a 12.783
_cell_length_b 4.562
_cell_length_c 12.997
_cell_angle_alpha 90.00
_cell_angle_beta 108.62
_cell_angle_gamma 90.00
_space_group_name_H-M_alt 'P 1 21/m 1'
_space_group_IT_number 11
loop_
_space_group_symop_operation_xyz
'x,y,z'
'-x,-y,-z'
'-x,y+1/2,-z'
'x,-y+1/2,z'
loop_
_atom_site_label
_atom_site_fract_x
_atom_site_fract_y
_atom_site_fract_z
_atom_site_occupancy
Ac1 0.025 0.250 0.388 1
Ac2 0.111 0.250 0.947 1
Ac3 0.214 0.750 0.262 1
Ac4 0.298 0.750 0.757 1
Ac5 0.363 0.250 0.536 1
Ac6 0.419 0.750 0.086 1
Pt1 0.048 0.250 0.161 1
Pt2 0.179 0.750 0.494 1
Pt3 0.345 0.250 0.916 1
Pb1 0.444 0.250 0.305 1
# theoretical density: 9.96 g/cm³
# E: -109.72 eV per cell

***

12.
# PBE Ac2Sb, optimized geometry
data_Ac2Sb
_cell_length_a 4.256
_cell_length_b 4.256
_cell_length_c 12.741
_cell_angle_alpha 90.00
_cell_angle_beta 90.00
_cell_angle_gamma 90.00
_space_group_name_H-M_alt 'I 4/m m m'
_space_group_IT_number 139
_space_group_name_Hall '-I 4 2'
loop_
_atom_site_label
_atom_site_fract_x
_atom_site_fract_y
_atom_site_fract_z
_atom_site_occupancy
Ac1 0.000 0.000 0.140 1
Sb1 0.000 0.000 0.500 1
# formation energy without anion corrections: -0.62 eV per atom
# theoretical density: 8.29 g/cm³
# E: -28.39 eV per cell

***

13.
# PBE Ti2Fe2Co, optimized geometry
data_Ti2Fe2Co
_cell_length_a 3.331
_cell_length_b 13.796
_cell_length_c 2.853
_cell_angle_alpha 90.00
_cell_angle_beta 90.00
_cell_angle_gamma 90.00
_space_group_name_H-M_alt 'C m m m'
_space_group_IT_number 65
_space_group_name_Hall '-C 2 2'
loop_
_atom_site_label
_atom_site_fract_x
_atom_site_fract_y
_atom_site_fract_z
_atom_site_occupancy
Ti1 0.000 0.107 0.000 1
Fe1 0.000 0.304 0.500 1
Co1 0.000 0.500 0.500 1
# excess energy over the best structure of this formula in the dataset: 0.0 meV/atom
# theoretical density: 6.75 g/cm³
# E: -80.62 eV per cell

***

14.
# PBE Na2InO, optimized geometry
data_Na2InO
_cell_length_a 8.267
_cell_length_b 8.267
_cell_length_c 5.089
_cell_angle_alpha 90.00
_cell_angle_beta 90.00
_cell_angle_gamma 90.00
_space_group_name_H-M_alt 'I -4 2 d'
_space_group_IT_number 122
_space_group_name_Hall 'I -4 2bw'
loop_
_atom_site_label
_atom_site_fract_x
_atom_site_fract_y
_atom_site_fract_z
_atom_site_occupancy
Na1 0.111 0.250 0.125 1
In1 0.000 0.000 0.500 1
O1 0.000 0.000 0.000 1
# formation energy without anion corrections: -0.57 eV per atom
# excess energy over the best structure of this formula in the dataset: 0.0 meV/atom
# theoretical density: 3.38 g/cm³
# E: -50.40 eV per cell

***

15.
# PBE NaMg2ZrSn, optimized geometry
data_NaMg2ZrSn
_cell_length_a 4.912
_cell_length_b 4.912
_cell_length_c 5.372
_cell_angle_alpha 90.00
_cell_angle_beta 90.00
_cell_angle_gamma 90.00
_space_group_name_H-M_alt 'P 4/m m m'
_space_group_IT_number 123
_space_group_name_Hall '-P 4 2'
loop_
_atom_site_label
_atom_site_fract_x
_atom_site_fract_y
_atom_site_fract_z
_atom_site_occupancy
Na1 0.000 0.000 0.000 1
Mg1 0.000 0.500 0.000 1
Zr1 0.000 0.000 0.500 1
Sn1 0.500 0.500 0.500 1
# theoretical density: 3.61 g/cm³
# E: -12.84 eV per cell

***

16.
# PBE RuIF3, optimized geometry
data_RuIF3
_cell_length_a 8.152
_cell_length_b 5.444
_cell_length_c 11.000
_cell_angle_alpha 90.00
_cell_angle_beta 128.00
_cell_angle_gamma 90.00
_space_group_name_H-M_alt 'P 1 21/c 1'
_space_group_IT_number 14
loop_
_space_group_symop_operation_xyz
'x,y,z'
'-x,-y,-z'
'-x,y+1/2,-z+1/2'
'x,-y+1/2,z+1/2'
loop_
_atom_site_label
_atom_site_fract_x
_atom_site_fract_y
_atom_site_fract_z
_atom_site_occupancy
Ru1 0.016 0.046 0.380 1
I1 0.407 0.580 0.068 1
F1 0.064 0.245 0.054 1
F2 0.073 0.142 0.810 1
F3 0.281 0.643 0.242 1
# formation energy without anion corrections: -1.19 eV per atom
# excess energy over the best structure of this formula in the dataset: 0.0 meV/atom
# theoretical density: 4.92 g/cm³
# E: -89.66 eV per cell

***

17.
# PBE CsAcTl4, optimized geometry
data_CsAcTl4
_cell_length_a 9.402
_cell_length_b 9.402
_cell_length_c 9.402
_cell_angle_alpha 90.00
_cell_angle_beta 90.00
_cell_angle_gamma 90.00
_space_group_name_H-M_alt 'F -4 3 m'
_space_group_IT_number 216
_space_group_name_Hall 'F -4 2 3'
loop_
_atom_site_label
_atom_site_fract_x
_atom_site_fract_y
_atom_site_fract_z
_atom_site_occupancy
Cs1 0.000 0.000 0.000 1
Ac1 0.250 0.250 0.250 1
Tl1 0.125 0.125 0.625 1
# theoretical density: 9.41 g/cm³
# E: -59.55 eV per cell

***

18.
# PBE Cd2HgPb2, optimized geometry
data_Cd2HgPb2
_cell_length_a 4.593
_cell_length_b 4.593
_cell_length_c 14.515
_cell_angle_alpha 90.00
_cell_angle_beta 90.00
_cell_angle_gamma 90.00
_space_group_name_H-M_alt 'I 4/m m m'
_space_group_IT_number 139
_space_group_name_Hall '-I 4 2'
loop_
_atom_site_label
_atom_site_fract_x
_atom_site_fract_y
_atom_site_fract_z
_atom_site_occupancy
Cd1 0.000 0.000 0.095 1
Hg1 0.000 0.000 0.500 1
Pb1 0.000 0.500 0.250 1
# excess energy over the best structure of this formula in the dataset: 72.7 meV/atom
# theoretical density: 9.11 g/cm³
# E: -17.71 eV per cell

***

19.
# PBE In2CuSnAs, optimized geometry
data_In2CuSnAs
_cell_length_a 5.156
_cell_length_b 5.156
_cell_length_c 4.779
_cell_angle_alpha 90.00
_cell_angle_beta 90.00
_cell_angle_gamma 90.00
_space_group_name_H-M_alt 'P 4/m m m'
_space_group_IT_number 123
_space_group_name_Hall '-P 4 2'
loop_
_atom_site_label
_atom_site_fract_x
_atom_site_fract_y
_atom_site_fract_z
_atom_site_occupancy
In1 0.000 0.500 0.000 1
Cu1 0.000 0.000 0.000 1
Sn1 0.500 0.500 0.500 1
As1 0.000 0.000 0.500 1
# theoretical density: 6.36 g/cm³
# E: -16.91 eV per cell

***

20.
# PBE Pr3Ga2Ni2, optimized geometry
data_Pr3Ga2Ni2
_cell_length_a 5.744
_cell_length_b 8.210
_cell_length_c 13.125
_cell_angle_alpha 90.00
_cell_angle_beta 90.00
_cell_angle_gamma 90.00
_space_group_name_H-M_alt 'P b c m'
_space_group_IT_number 57
loop_
_space_group_symop_operation_xyz
'x,y,z'
'-x,-y,-z'
'-x,-y,z+1/2'
'x,y,-z+1/2'
'x,-y+1/2,-z'
'-x,y+1/2,z'
'-x,y+1/2,-z+1/2'
'x,-y+1/2,z+1/2'
loop_
_atom_site_label
_atom_site_fract_x
_atom_site_fract_y
_atom_site_fract_z
_atom_site_occupancy
Pr1 0.150 0.105 0.098 1
Pr2 0.349 0.748 0.750 1
Ga1 0.165 0.102 0.750 1
Ga2 0.358 0.750 0.000 1
Ni1 0.384 0.032 0.588 1
# excess energy over the best structure of this formula in the dataset: 0.0 meV/atom
# theoretical density: 7.29 g/cm³
# E: -141.33 eV per cell